Tb5Sm2Er2, optimized geometry, DFT PBE; energy of formation from the pure elements = 0.112 eV per atom; magnetization = 0.00 μB/f.u.; energy above the lowest structure with this stoichiometry = 0.0 meV per atom
1.0
5.535 0.000 1.683
1.329 6.551 5.573
0.193 1.578 9.308
Tb Er Sm
5 2 2
Direct
0.791 0.346 0.072
0.680 0.001 0.639
0.209 0.654 0.928
0.000 0.000 0.000
0.320 0.999 0.361
0.103 0.318 0.477
0.897 0.682 0.523
0.437 0.337 0.788
0.563 0.663 0.212